{"formula": "Sb2TeWO", "functional": "PBE with a Hubbard U", "state": "relaxed", "cell": [[5.252, 0.000, 0.000], [0.000, 5.252, 0.000], [0.000, 0.000, 5.169]], "species": ["Sb", "Sb", "Te", "W", "O"], "fractional_positions": [[0.000, 0.500, 0.000], [0.500, 0.000, 0.000], [0.000, 0.000, 0.500], [0.000, 0.000, 0.000], [0.500, 0.500, 0.500]], "dft_energy_ev_per_atom": -3.57, "de_polymorph_mev_per_atom": 700.6, "rho_g_cm3": 6.649, "total_magnetization_mub_per_fu": 0.00}